(1)
# Cr2NiRh2

Crystalline Cr2NiRh2 at its relaxed geometry (PBE, the Alexandria database).

Results
- Space-group type: C2/m, No. 12

Cell: 4.4679 4.4679 5.7902 Å, 129.04 129.04 48.91°
Closest atoms and distances in Å follow each position.
Atoms (fractional coordinates):
Cr: 0.2073 0.2073 0.1114  6 Rh 2.49-2.63, 3 Ni 2.60-2.67, 3 Cr 2.61-2.65
Cr: 0.7927 0.7927 0.8886  6 Rh 2.49-2.63, 3 Ni 2.60-2.67, 3 Cr 2.61-2.65
Ni: 0.0000 0.0000 0.5000  6 Rh 2.56-2.67, 6 Cr 2.60-2.67
Rh: 0.4115 0.4115 0.7053  6 Cr 2.49-2.63, 3 Ni 2.56-2.67, 3 Rh 2.63-2.71
Rh: 0.5885 0.5885 0.2947  6 Cr 2.49-2.63, 3 Ni 2.56-2.67, 3 Rh 2.63-2.71

=====

(2)
# CrNi5Rh6

Crystalline CrNi5Rh6 at its relaxed geometry (PBE, the Alexandria database).

Results
- Space-group type: C2/m, No. 12

Cell: 6.9555 6.9555 4.4755 Å, 92.41 92.41 45.07°
Closest atoms and distances in Å follow each position.
Atoms (fractional coordinates):
Cr: 0.0000 0.0000 0.0000  8 Rh 2.59-2.61, 4 Ni 2.64-2.67
Ni: 0.1643 0.1643 0.6663  8 Rh 2.58-2.64, 1 Cr 2.64, 3 Ni 2.67-2.68
Ni: 0.3331 0.3331 0.3351  8 Rh 2.60-2.61, 4 Ni 2.67-2.68
Ni: 0.5000 0.5000 0.0000  8 Rh 2.59-2.60, 2 Cr 2.67, 2 Ni 2.67
Ni: 0.6669 0.6669 0.6649  8 Rh 2.60-2.61, 4 Ni 2.67-2.68
Ni: 0.8357 0.8357 0.3337  8 Rh 2.58-2.64, 1 Cr 2.64, 3 Ni 2.67-2.68
Rh: 0.0838 0.5844 0.8365  1 Cr 2.59, 7 Ni 2.59-2.64, 4 Rh 2.66-2.67
Rh: 0.2504 0.7496 0.5000  6 Ni 2.58-2.60, 2 Cr 2.61, 4 Rh 2.66-2.67
Rh: 0.4156 0.9162 0.1635  1 Cr 2.59, 7 Ni 2.59-2.64, 4 Rh 2.66-2.67
Rh: 0.5844 0.0838 0.8365  1 Cr 2.59, 7 Ni 2.59-2.64, 4 Rh 2.66-2.67
Rh: 0.7496 0.2504 0.5000  6 Ni 2.58-2.60, 2 Cr 2.61, 4 Rh 2.66-2.67
Rh: 0.9162 0.4156 0.1635  1 Cr 2.59, 7 Ni 2.59-2.64, 4 Rh 2.66-2.67

=====

Short version: Fermi-level density of states = 1.1914; 1.6806 states/eV/atom, in the order given.
Short version: energy above the most stable polymorph in this dataset = 0.0; 4.5 meV/atom, in the order given.